Record 1
A PBEsol-optimized structure of SnSbN2, computed with meta-GGA SCAN.

a = 6.0308 Å, b = 6.0308 Å, c = 6.0308 Å
α = 90.00°, β = 90.00°, γ = 90.00°
Space group Fm-3m (No. 225)
Inequivalent atoms, fractional coordinates:
1 Sn 0.0000 0.0000 0.0000
2 Sb 0.0000 0.0000 0.5000
3 N 0.2500 0.2500 0.2500

Computed properties:
Formation energy (no corrections) in eV per atom: 1.454



Record 2
A PBEsol-optimized structure of SrNiRh3, computed with meta-GGA SCAN.

a = 4.5386 Å, b = 4.5386 Å, c = 4.5386 Å
α = 90.00°, β = 90.00°, γ = 90.00°
Space group Pm-3m (No. 221)
Inequivalent atoms, fractional coordinates:
1 Sr 0.0000 0.0000 0.0000
2 Ni 0.5000 0.5000 0.5000
3 Rh 0.0000 0.5000 0.5000

Computed properties:
Formation energy from the elements in eV/atom: 0.423



Record 3
A PBEsol-optimized structure of MnCd2Ru, computed with meta-GGA SCAN.

a = 6.3681 Å, b = 6.3681 Å, c = 6.3681 Å
α = 90.00°, β = 90.00°, γ = 90.00°
Space group F-43m (No. 216)
Inequivalent atoms, fractional coordinates:
1 Mn 0.0000 0.0000 0.0000
2 Cd 0.0000 0.0000 0.5000
3 Cd 0.2500 0.2500 0.2500
4 Ru 0.2500 0.2500 0.7500

Computed properties:
Formation energy from the elements in eV/atom: 0.150
Energy above the most stable polymorph in this dataset in meV/atom: 80



Record 4
A PBEsol-optimized structure of Ta3PdF, computed with meta-GGA SCAN.

a = 4.2314 Å, b = 4.2314 Å, c = 4.2314 Å
α = 90.00°, β = 90.00°, γ = 90.00°
Space group Pm-3m (No. 221)
Inequivalent atoms, fractional coordinates:
1 Ta 0.0000 0.0000 0.5000
2 Pd 0.5000 0.5000 0.5000
3 F 0.0000 0.0000 0.0000

Computed properties:
Formation energy (no corrections) in eV per atom: 0.146